VASP calculation (PBE+U) on an optimized crystal structure of LuCoNO.

Cell lengths 3.5389, 3.5389, 7.5806 Å; angles 90.00, 90.00, 90.00 degrees
Sites, in units of the cell vectors:
O 0.0000 0.0000 0.0000
Co 0.0000 0.0000 0.5000
Lu 0.5000 0.0000 0.8472
O 0.5000 0.5000 0.0000
Lu 0.0000 0.5000 0.1528
N 0.0000 0.5000 0.6468
Co 0.5000 0.5000 0.5000
N 0.5000 0.0000 0.3532

Values from the calculation:
As for the electronic total energy: -7.05 eV per atom. The value obtained for the total magnetization is 5.69 μB/cell. The space-group type is P4/nmm.